# Rb2GeRuBr6

A relaxed Rb2GeRuBr6 crystal (PBE, the Alexandria database).

Cell lengths 7.5651, 7.5651, 7.5651 Å; angles 119.93, 119.93, 90.11 degrees
Fractional coordinates of all 10 atoms:
Rb1 0.2500 0.7500 0.5000
Rb2 0.7500 0.2500 0.5000
Ge1 0.0000 0.0000 0.0000
Ru1 0.5000 0.5000 0.0000
Br1 0.2594 0.2594 0.0000
Br2 0.2597 0.2597 0.5194
Br3 0.2597 0.7403 0.0000
Br4 0.7403 0.2597 0.0000
Br5 0.7403 0.7403 0.4806
Br6 0.7406 0.7406 0.0000

Properties
ΔE_f (raw)   -79 kJ per mole of atoms
Calculated total energy   -3.403 eV/atom


# Ac2TbBi2Te2

A relaxed Ac2TbBi2Te2 crystal (PBE, the Alexandria database).

Cell lengths 9.3138, 9.3138, 9.3138 Å; angles 143.36, 143.36, 52.79 degrees
Fractional coordinates of all 7 atoms:
Ac1 0.1262 0.1262 0.0000
Ac2 0.8738 0.8738 0.0000
Tb1 0.5000 0.5000 0.0000
Bi1 0.0000 0.5000 0.5000
Bi2 0.5000 0.0000 0.5000
Te1 0.3165 0.3165 0.0000
Te2 0.6835 0.6835 0.0000

Properties
ΔE_f (raw)   -80 kJ per mole of atoms
Calculated total energy   -4.670 eV/atom


Question: Among the records above, which one has the highest ΔE_f (raw)?
Answer: Rb2GeRuBr6


Question: The highest calculated total energy belongs to which entry?
Answer: Rb2GeRuBr6